Entry 1:
Ac2TaP3Rh12 after structural relaxation, computed with GGA-PBE.

Unit cell a=8.2834 b=8.2834 c=17.3452 alpha=90.00 beta=90.00 gamma=120.00
Space group R-3m (No. 166, hexagonal axes)
Inequivalent atoms, fractional coordinates:
Ac 0.0000 0.0000 0.1061 [6 per cell]
Ta 0.0000 0.0000 0.5000 [3 per cell]
P 0.0000 0.5000 0.0000 [9 per cell]
Rh 0.0010 0.5005 0.8717 [18 per cell]
Rh 0.0525 0.5262 0.3566 [18 per cell]

VASP energy: -7.178 eV/atom
M_tot: 0.00 μB/f.u.
calculated volume: 19.1 Å³/atom
energy of formation from the pure elements: -0.2609 eV per atom

Entry 2:
Ac2TbP3Rh12 after structural relaxation, computed with GGA-PBE.

Unit cell a=8.5968 b=8.5968 c=15.7418 alpha=90.00 beta=90.00 gamma=120.00
Space group R-3m (No. 166, hexagonal axes)
Inequivalent atoms, fractional coordinates:
Ac 0.0000 0.0000 0.1069 [6 per cell]
Tb 0.0000 0.0000 0.5000 [3 per cell]
P 0.0000 0.5000 0.0000 [9 per cell]
Rh 0.0167 0.5084 0.8607 [18 per cell]
Rh 0.0577 0.5289 0.3516 [18 per cell]

VASP energy: -6.820 eV/atom
M_tot: 0.00 μB/f.u.
calculated volume: 18.7 Å³/atom
energy of formation from the pure elements: -0.3040 eV per atom

Entry 3:
Ac6Te3PRh2 after structural relaxation, computed with GGA-PBE.

Unit cell a=7.767 b=13.436 c=8.294 alpha=90.00 beta=108.40 gamma=90.00
Space group C2/m (No. 12)
Inequivalent atoms, fractional coordinates:
Ac 0.230 0.000 0.212 [4 per cell]
Ac 0.239 0.330 0.212 [8 per cell]
Te 0.000 0.000 0.500 [2 per cell]
Te 0.000 0.337 0.500 [4 per cell]
P 0.000 0.500 0.000 [2 per cell]
Rh 0.000 0.167 0.000 [4 per cell]

formation energy (no corrections): -1223 meV/atom
VASP energy: -5.739 eV/atom
M_tot: 0.00 μB/f.u.
calculated volume: 34.2 Å³/atom

Entry 4:
Ac8Te4P3Rh after structural relaxation, computed with GGA-PBE.

Unit cell a=9.0454 b=9.0454 c=23.1412 alpha=90.00 beta=90.00 gamma=120.00
Space group R-3m (No. 166, hexagonal axes)
Inequivalent atoms, fractional coordinates:
Ac 0.0000 0.0000 0.2392 [6 per cell]
Ac 0.0044 0.5022 0.2385 [18 per cell]
Te 0.0000 0.0000 0.0000 [3 per cell]
Te 0.0000 0.5000 0.0000 [9 per cell]
P 0.0000 0.5000 0.5000 [9 per cell]
Rh 0.0000 0.0000 0.5000 [3 per cell]

formation energy (no corrections): -1423 meV/atom
VASP energy: -5.736 eV/atom
M_tot: 0.00 μB/f.u.
calculated volume: 34.2 Å³/atom

Entry 5:
AcThP2Rh5 after structural relaxation, computed with GGA-PBE.

Unit cell a=4.164 b=4.164 c=9.482 alpha=90.00 beta=90.00 gamma=90.00
Space group P4/mmm (No. 123)
Inequivalent atoms, fractional coordinates:
Ac 0.000 0.000 0.000 [1 per cell]
Th 0.000 0.000 0.500 [1 per cell]
P 0.500 0.500 0.167 [2 per cell]
Rh 0.000 0.500 0.272 [4 per cell]
Rh 0.500 0.500 0.500 [1 per cell]

VASP energy: -7.602 eV/atom
M_tot: 0.00 μB/f.u.
calculated volume: 18.3 Å³/atom
energy of formation from the pure elements: -1.0344 eV per atom

Entry 6:
AcTiP2Rh after structural relaxation, computed with GGA-PBE.

Unit cell a=4.003 b=4.003 c=12.206 alpha=90.00 beta=90.00 gamma=90.00
Space group I-4m2 (No. 119)
Inequivalent atoms, fractional coordinates:
Ac 0.000 0.000 0.000 [2 per cell]
Ti 0.000 0.500 0.750 [2 per cell]
P 0.000 0.000 0.365 [4 per cell]
Rh 0.000 0.500 0.250 [2 per cell]

VASP energy: -7.173 eV/atom
M_tot: 0.00 μB/f.u.
calculated volume: 19.6 Å³/atom
energy of formation from the pure elements: -1.1384 eV per atom